Material: AlZn2Ge2Rh5
Method: DFT, PBE
State: optimized geometry

Lattice parameters (Å, degrees): 10.137 10.137 2.946 90.00 90.00 90.00
Fractional positions:
Al (0.000, 0.000, 0.000)
Al (0.500, 0.500, 0.000)
Zn (0.152, 0.348, 0.000)
Zn (0.348, 0.848, 0.000)
Zn (0.652, 0.152, 0.000)
Zn (0.848, 0.652, 0.000)
Ge (0.143, 0.643, 0.000)
Ge (0.357, 0.143, 0.000)
Ge (0.643, 0.857, 0.000)
Ge (0.857, 0.357, 0.000)
Rh (0.000, 0.500, 0.500)
Rh (0.132, 0.840, 0.500)
Rh (0.160, 0.132, 0.500)
Rh (0.340, 0.632, 0.500)
Rh (0.368, 0.340, 0.500)
Rh (0.500, 0.000, 0.500)
Rh (0.632, 0.660, 0.500)
Rh (0.660, 0.368, 0.500)
Rh (0.840, 0.868, 0.500)
Rh (0.868, 0.160, 0.500)

The value obtained for the formation energy is -4.4 eV/f.u. The calculation puts the magnetization at 0.000 μB per atom.

---

Material: LaTb3
Method: DFT, PBE
State: optimized geometry

Lattice parameters (Å, degrees): 3.671 5.806 6.303 90.00 90.00 90.00
Fractional positions:
La (0.000, 0.000, 0.000)
Tb (0.000, 0.500, 0.339)
Tb (0.500, 0.000, 0.503)
Tb (0.500, 0.500, 0.838)

The value obtained for the formation energy is 0.1 eV/f.u. The calculation puts the magnetization at 0.000 μB per atom.

---

Material: AlGa2Ge
Method: DFT, PBE
State: optimized geometry

Lattice parameters (Å, degrees): 6.604 6.604 6.604 122.72 122.72 85.35
Fractional positions:
Al (0.000, 0.000, 0.000)
Al (0.750, 0.250, 0.500)
Ga (0.139, 0.625, 0.014)
Ga (0.375, 0.389, 0.514)
Ga (0.611, 0.125, 0.986)
Ga (0.875, 0.861, 0.486)
Ge (0.250, 0.750, 0.500)
Ge (0.500, 0.500, 0.000)

The value obtained for the formation energy is 1.2 eV/f.u. The calculation puts the magnetization at 0.000 μB per atom.

---

Material: YEr4Ni4
Method: DFT, PBE
State: optimized geometry

Lattice parameters (Å, degrees): 8.548 8.548 5.505 90.00 90.00 90.00
Fractional positions:
Y (0.250, 0.250, 0.250)
Y (0.750, 0.750, 0.750)
Er (0.070, 0.662, 0.149)
Er (0.162, 0.930, 0.649)
Er (0.338, 0.570, 0.649)
Er (0.430, 0.838, 0.149)
Er (0.570, 0.162, 0.851)
Er (0.662, 0.430, 0.351)
Er (0.838, 0.070, 0.351)
Er (0.930, 0.338, 0.851)
Ni (0.028, 0.615, 0.638)
Ni (0.115, 0.972, 0.138)
Ni (0.385, 0.528, 0.138)
Ni (0.472, 0.885, 0.638)
Ni (0.528, 0.115, 0.362)
Ni (0.615, 0.472, 0.862)
Ni (0.885, 0.028, 0.862)
Ni (0.972, 0.385, 0.362)

The value obtained for the formation energy is -2.5 eV/f.u. The calculation puts the magnetization at 0.000 μB per atom.

---

Material: Pm5Te4Se2
Method: DFT, PBE
State: optimized geometry

Lattice parameters (Å, degrees): 15.880 15.880 15.880 19.13 19.13 19.13
Fractional positions:
Pm (0.000, 0.000, 0.000)
Pm (0.136, 0.136, 0.136)
Pm (0.287, 0.287, 0.287)
Pm (0.713, 0.713, 0.713)
Pm (0.864, 0.864, 0.864)
Te (0.069, 0.069, 0.069)
Te (0.203, 0.203, 0.203)
Te (0.797, 0.797, 0.797)
Te (0.931, 0.931, 0.931)
Se (0.351, 0.351, 0.351)
Se (0.649, 0.649, 0.649)

The calculation puts the magnetization at 0.112 μB per atom. The calculation puts the raw formation energy at -1445 kJ/mol of formula units.

---

Material: LiAcPb
Method: DFT, PBE
State: optimized geometry

Lattice parameters (Å, degrees): 4.980 4.980 8.485 90.00 90.00 120.00
Fractional positions:
Li (0.333, 0.667, 0.250)
Li (0.667, 0.333, 0.750)
Ac (0.000, 0.000, 0.000)
Ac (0.000, 0.000, 0.500)
Pb (0.333, 0.667, 0.750)
Pb (0.667, 0.333, 0.250)

The value obtained for the formation energy is -1.6 eV/f.u. The calculation puts the magnetization at 0.000 μB per atom.

---

Material: TiNbMo4
Method: DFT, PBE
State: optimized geometry

Lattice parameters (Å, degrees): 5.328 5.328 4.479 90.00 90.00 130.10
Fractional positions:
Ti (0.000, 0.000, 0.000)
Nb (0.500, 0.500, 0.500)
Mo (0.170, 0.830, 0.500)
Mo (0.327, 0.673, 0.000)
Mo (0.673, 0.327, 0.000)
Mo (0.830, 0.170, 0.500)

The value obtained for the formation energy is -0.9 eV/f.u. The calculation puts the magnetization at 0.000 μB per atom.

---

Material: TlRhS4
Method: DFT, PBE
State: optimized geometry

Lattice parameters (Å, degrees): 7.327 7.327 6.932 97.50 97.50 120.00
Fractional positions:
Tl (0.117, 0.883, 0.750)
Tl (0.883, 0.117, 0.250)
Rh (0.451, 0.549, 0.750)
Rh (0.549, 0.451, 0.250)
S (0.244, 0.607, 0.494)
S (0.272, 0.437, 0.019)
S (0.393, 0.756, 0.006)
S (0.437, 0.272, 0.519)
S (0.563, 0.728, 0.481)
S (0.607, 0.244, 0.994)
S (0.728, 0.563, 0.981)
S (0.756, 0.393, 0.506)

The calculation puts the magnetization at 0.000 μB per atom. The calculation puts the raw formation energy at -129 kJ/mol of formula units.

---

Material: Tl2AgSb
Method: DFT, PBE
State: optimized geometry

Lattice parameters (Å, degrees): 10.359 10.359 10.359 19.51 19.51 19.51
Fractional positions:
Tl (0.000, 0.000, 0.000)
Tl (0.238, 0.238, 0.238)
Ag (0.495, 0.495, 0.495)
Sb (0.758, 0.758, 0.758)

The calculation puts the magnetization at 0.000 μB per atom. The calculation puts the raw formation energy at 50 kJ/mol of formula units.

---

Material: TaReRu2
Method: DFT, PBE
State: optimized geometry

Lattice parameters (Å, degrees): 2.820 3.832 5.630 90.00 90.00 90.00
Fractional positions:
Ta (0.000, 0.000, 0.000)
Re (0.000, 0.000, 0.500)
Ru (0.500, 0.500, 0.261)
Ru (0.500, 0.500, 0.739)

The value obtained for the formation energy is -0.3 eV/f.u. The calculation puts the magnetization at 0.000 μB per atom.

---

Material: Rb2ZrOsBr6
Method: DFT, PBE
State: optimized geometry

Lattice parameters (Å, degrees): 7.579 7.579 7.579 119.76 119.76 90.42
Fractional positions:
Rb (0.250, 0.750, 0.500)
Rb (0.750, 0.250, 0.500)
Zr (0.000, 0.000, 0.000)
Os (0.500, 0.500, 0.000)
Br (0.253, 0.253, 0.507)
Br (0.253, 0.747, 0.000)
Br (0.254, 0.254, 0.000)
Br (0.746, 0.746, 0.000)
Br (0.747, 0.253, 0.000)
Br (0.747, 0.747, 0.493)

The calculation puts the magnetization at 0.200 μB per atom. The calculation puts the raw formation energy at -725 kJ/mol of formula units.

---

Material: Tl5Cd
Method: DFT, PBE
State: optimized geometry

Lattice parameters (Å, degrees): 5.394 9.232 9.232 22.99 90.00 90.00
Fractional positions:
Tl (0.000, 0.000, 0.000)
Tl (0.000, 0.322, 0.322)
Tl (0.500, 0.200, 0.200)
Tl (0.500, 0.544, 0.544)
Tl (0.500, 0.871, 0.871)
Cd (0.000, 0.666, 0.666)

The value obtained for the formation energy is 0.2 eV/f.u. The calculation puts the magnetization at 0.000 μB per atom.